No. 1
Here is a relaxed structure of Sm3Sn4Pd2 from Alexandria. Energies are from PBE.

Cell and atoms, written as POSCAR:
```
Sm3Sn4Pd2
1.0
4.6430 0.0000 0.0000
-2.3215 5.7226 -0.1083
0.0000 -2.4639 8.5245
Sm Sn Pd
3 4 2
Direct
0.6320 0.2641 0.6888
0.0000 0.0000 0.0000
0.3680 0.7359 0.3112
0.7041 0.4081 0.0738
0.2959 0.5919 0.9262
0.9213 0.8426 0.6104
0.0787 0.1574 0.3896
0.6943 0.3886 0.3758
0.3057 0.6114 0.6242
```

Results
Calculated formation energy = -0.7993 eV per atom
Density = 8.39 g cm⁻³
Space-group type = C2/m, No. 12
D(E_F) = 0.4939 states/eV per atom

No. 2
Here is a relaxed structure of SmSnPd4 from Alexandria. Energies are from PBE.

Cell and atoms, written as POSCAR:
```
SmSnPd4
1.0
5.4316 0.0000 0.0000
0.0000 5.4316 0.0000
0.0000 0.0000 9.0461
Sm Sn Pd
2 2 8
Direct
0.0000 0.0000 0.5000
0.5000 0.5000 0.0000
0.0000 0.0000 0.0000
0.5000 0.5000 0.5000
0.2655 0.0000 0.2364
0.7345 0.0000 0.2364
0.0000 0.7345 0.7636
0.0000 0.2655 0.7636
0.5000 0.2345 0.7364
0.7655 0.5000 0.2636
0.2345 0.5000 0.2636
0.5000 0.7655 0.7364
```

Results
Calculated formation energy = -0.2808 eV per atom
Density = 8.65 g cm⁻³
Space-group type = P4_2/nmc, No. 137
D(E_F) = 0.6501 states/eV per atom